[1]
The following is a DFT calculation (PBEsol) of a geometry-optimized LaPrAl4 structure.

Cell lengths 8.0348, 8.0348, 8.0348 Å; angles 90.00, 90.00, 90.00 degrees
Closest atoms and distances in Å follow each position.
Space group F-43m (No. 216)
Symmetry-distinct sites (fractional):
La  0.0000  0.0000  0.0000  12 Al 3.33, 4 Pr 3.48
Pr  0.2500  0.2500  0.2500  12 Al 3.33, 4 La 3.48
Al  0.1251  0.1251  0.6251  6 Al 2.84

Properties
- energy relative to the elements (eV per atom) = -0.499
- crystal system = cubic



[2]
The following is a DFT calculation (PBEsol) of a geometry-optimized Cd2FeAs structure.

Cell lengths 2.7919, 3.7769, 13.4456 Å; angles 90.00, 90.00, 90.00 degrees
Closest atoms and distances in Å follow each position.
Space group Immm (No. 71)
Symmetry-distinct sites (fractional):
Cd  0.0000  0.0000  0.1811  6 Cd 2.79-2.99, 2 Fe 2.81, 2 As 3.08
Fe  0.0000  0.5000  0.5000  4 As 2.35
As  0.0000  0.5000  0.0000  4 Fe 2.35

Properties
- energy relative to the elements (eV per atom) = 0.069
- crystal system = orthorhombic



[3]
The following is a DFT calculation (PBEsol) of a geometry-optimized AlAg2Pt structure.

Cell lengths 9.9096, 2.8771, 4.5319 Å; angles 90.00, 107.37, 90.00 degrees
Closest atoms and distances in Å follow each position.
Space group C2/m (No. 12)
Symmetry-distinct sites (fractional):
Al  0.0000  0.0000  0.0000  4 Pt 2.68, 4 Ag 2.70, 2 Al 2.88
Ag  0.2379  0.5000  0.2421  6 Ag 2.69-2.88, 2 Al 2.70, 3 Pt 2.89-2.93
Pt  0.0000  0.5000  0.5000  4 Al 2.68, 2 Pt 2.88, 6 Ag 2.89-2.93

Properties
- energy relative to the elements (eV per atom) = -0.312
- energy relative to the lowest polymorph listed for this composition (meV per atom) = 5
- crystal system = monoclinic



[4]
The following is a DFT calculation (PBEsol) of a geometry-optimized ZrMo structure.

Cell lengths 5.8405, 5.8405, 5.8405 Å; angles 90.00, 90.00, 90.00 degrees
Closest atoms and distances in Å follow each position.
Space group F-43m (No. 216)
Symmetry-distinct sites (fractional):
Zr  0.0000  0.0000  0.0000  4 Mo 2.53
Mo  0.2500  0.2500  0.2500  4 Zr 2.53

Properties
- energy relative to the elements (eV per atom) = 2.507
- energy relative to the lowest polymorph listed for this composition (meV per atom) = 2533
- crystal system = cubic



[5]
The following is a DFT calculation (PBEsol) of a geometry-optimized YSnPd structure.

Cell lengths 7.1145, 4.5784, 7.8587 Å; angles 90.00, 90.00, 90.00 degrees
Closest atoms and distances in Å follow each position.
Space group Pnma (No. 62)
Symmetry-distinct sites (fractional):
Y  0.0085  0.2500  0.2051  6 Pd 3.05-3.34, 6 Sn 3.16-3.28
Sn  0.1933  0.2500  0.5874  4 Pd 2.66-2.83
Pd  0.2049  0.7500  0.4161  4 Sn 2.66-2.83

Properties
- energy relative to the elements (eV per atom) = -0.982
- crystal system = orthorhombic



[6]
The following is a DFT calculation (PBEsol) of a geometry-optimized CeSb2 structure.

Cell lengths 6.1998, 6.1139, 17.3422 Å; angles 90.00, 90.00, 90.00 degrees
Closest atoms and distances in Å follow each position.
Space group Cmce (No. 64)
Symmetry-distinct sites (fractional):
Ce  0.0000  0.1428  0.1099  9 Sb 3.13-3.37
Sb  0.0000  0.1419  0.4312  1 Sb 2.95, 4 Ce 3.13-3.18
Sb  0.2500  0.1153  0.7500  4 Sb 3.06-3.10, 4 Ce 3.24-3.29

Properties
- crystal system = orthorhombic
- ΔE_f (raw) (meV/atom) = -772



What is the formula in the third record? AlAg2Pt